VASP calculation (PBE-GGA) on BaRuSN2 after structural relaxation.

Cell lengths 4.0544, 4.0544, 5.1006 Å; angles 90.00, 90.00, 90.00 degrees
Site moments in Bohr magnetons follow the coordinates.
Fractional positions:
S 0.0000 0.0000 0.5000  0.01
N 0.5000 0.0000 0.0000  0.16
Ba 0.5000 0.5000 0.5000  0.00
Ru 0.0000 0.0000 0.0000  -0.03
N 0.0000 0.5000 0.0000  0.16

## Properties
* energy relative to the lowest polymorph listed for this composition: 0.000 eV per atom



VASP calculation (PBE-GGA) on Ba2SbRuN after structural relaxation.

Cell lengths 6.0662, 6.0662, 3.7955 Å; angles 90.00, 90.00, 90.00 degrees
Site moments in Bohr magnetons follow the coordinates.
Fractional positions:
Sb 0.5000 0.5000 0.5000  0.04
N 0.0000 0.0000 0.0000  -0.01
Ba 0.5000 0.0000 0.0000  0.00
Ru 0.0000 0.0000 0.5000  0.26
Ba 0.0000 0.5000 0.0000  0.00



VASP calculation (PBE-GGA) on BaScRu2N after structural relaxation.

Cell lengths 4.9577, 4.2857, 4.9577 Å; angles 90.00, 90.00, 90.00 degrees
Site moments in Bohr magnetons follow the coordinates.
Fractional positions:
Sc 0.0000 0.0000 0.0000  -0.02
Ru 0.5000 0.0000 0.0000  0.21
Ru 0.0000 0.0000 0.5000  0.22
Ba 0.5000 0.5000 0.5000  -0.01
N 0.0000 0.5000 0.0000  0.01



VASP calculation (PBE-GGA) on Ba2RuSeN after structural relaxation.

Cell lengths 5.8148, 5.8148, 3.8332 Å; angles 90.00, 90.00, 90.00 degrees
Site moments in Bohr magnetons follow the coordinates.
Fractional positions:
Ba 0.0000 0.5000 0.0000  0.00
Ba 0.5000 0.0000 0.0000  0.00
Se 0.5000 0.5000 0.5000  0.05
Ru 0.0000 0.0000 0.5000  0.32
N 0.0000 0.0000 0.0000  -0.01



Formation energy (no corrections), respectively: 0.03; -0.45; 1.00; -0.80 eV/atom.
DFT total energy, respectively: -0.2338; -0.2045; -0.2213; -0.2126 hartree per atom.